# 1
Crystalline Ga12Sb3S5 at its relaxed geometry, computed with PBE.

**Final energy**: -281.86 eV per cell
**Formation energy from raw total energies**: -57 meV per atom

```
Ga12Sb3S5
1.0
-8.045 8.045 8.045
8.045 -8.045 8.045
8.045 8.045 -8.045
Ga Sb S
48 12 20
direct
0.047 0.219 0.136 Ga
0.047 0.327 0.911 Ga
0.084 0.719 0.673 Ga
0.084 0.864 0.411 Ga
0.089 0.636 0.416 Ga
0.089 0.953 0.673 Ga
0.136 0.047 0.219 Ga
0.136 0.589 0.916 Ga
0.173 0.219 0.584 Ga
0.173 0.453 0.589 Ga
0.219 0.136 0.047 Ga
0.219 0.584 0.173 Ga
0.281 0.327 0.916 Ga
0.281 0.453 0.364 Ga
0.327 0.911 0.047 Ga
0.327 0.916 0.281 Ga
0.364 0.281 0.453 Ga
0.364 0.584 0.911 Ga
0.411 0.084 0.864 Ga
0.411 0.827 0.547 Ga
0.416 0.089 0.636 Ga
0.416 0.827 0.781 Ga
0.453 0.364 0.281 Ga
0.453 0.589 0.173 Ga
0.547 0.411 0.827 Ga
0.547 0.636 0.719 Ga
0.584 0.173 0.219 Ga
0.584 0.911 0.364 Ga
0.589 0.173 0.453 Ga
0.589 0.916 0.136 Ga
0.636 0.416 0.089 Ga
0.636 0.719 0.547 Ga
0.673 0.084 0.719 Ga
0.673 0.089 0.953 Ga
0.719 0.547 0.636 Ga
0.719 0.673 0.084 Ga
0.781 0.416 0.827 Ga
0.781 0.864 0.953 Ga
0.827 0.547 0.411 Ga
0.827 0.781 0.416 Ga
0.864 0.411 0.084 Ga
0.864 0.953 0.781 Ga
0.911 0.047 0.327 Ga
0.911 0.364 0.584 Ga
0.916 0.136 0.589 Ga
0.916 0.281 0.327 Ga
0.953 0.673 0.089 Ga
0.953 0.781 0.864 Ga
0.125 0.250 0.375 Sb
0.125 0.375 0.750 Sb
0.250 0.375 0.125 Sb
0.250 0.875 0.625 Sb
0.375 0.125 0.250 Sb
0.375 0.750 0.125 Sb
0.625 0.250 0.875 Sb
0.625 0.875 0.750 Sb
0.750 0.125 0.375 Sb
0.750 0.625 0.875 Sb
0.875 0.625 0.250 Sb
0.875 0.750 0.625 Sb
0.000 0.000 0.000 S
0.000 0.000 0.500 S
0.000 0.500 0.000 S
0.000 0.500 0.500 S
0.125 0.750 0.875 S
0.125 0.875 0.250 S
0.250 0.125 0.875 S
0.250 0.625 0.375 S
0.375 0.250 0.625 S
0.375 0.625 0.750 S
0.500 0.000 0.000 S
0.500 0.000 0.500 S
0.500 0.500 0.000 S
0.500 0.500 0.500 S
0.625 0.375 0.250 S
0.625 0.750 0.375 S
0.750 0.375 0.625 S
0.750 0.875 0.125 S
0.875 0.125 0.750 S
0.875 0.250 0.125 S
```

=====

# 2
Crystalline NaTl6Hg2 at its relaxed geometry, computed with PBE.

**Calculated formation energy**: 0.003 eV per atom
**Distance to the lowest polymorph of the same formula**: 0.0455 eV/atom
**Final energy**: -16.10 eV per cell

```
NaTl6Hg2
1.0
3.482 0.000 0.000
-1.741 3.015 0.000
0.000 0.000 25.592
Na Tl Hg
1 6 2
direct
0.000 0.000 0.000 Na
0.000 0.000 0.218 Tl
0.000 0.000 0.435 Tl
0.000 0.000 0.565 Tl
0.000 0.000 0.782 Tl
0.333 0.667 0.107 Tl
0.333 0.667 0.893 Tl
0.333 0.667 0.326 Hg
0.333 0.667 0.674 Hg
```

=====

# 3
Crystalline CaCuMo2 at its relaxed geometry, computed with PBE.

**Calculated formation energy**: 0.609 eV per atom
**Distance to the lowest polymorph of the same formula**: 0.2694 eV/atom
**Final energy**: -50.64 eV per cell

```
CaCuMo2
1.0
3.323 0.000 0.000
0.000 5.029 0.000
0.000 0.000 8.922
Ca Cu Mo
2 2 4
direct
0.000 0.000 0.000 Ca
0.500 0.500 0.500 Ca
0.000 0.500 0.770 Cu
0.500 0.000 0.270 Cu
0.000 0.000 0.517 Mo
0.000 0.500 0.215 Mo
0.500 0.000 0.715 Mo
0.500 0.500 0.017 Mo
```

=====

# 4
Crystalline ErTm2Rh at its relaxed geometry, computed with PBE.

**Calculated formation energy**: -0.535 eV per atom
**Distance to the lowest polymorph of the same formula**: 0.0303 eV/atom
**Final energy**: -91.98 eV per cell

```
ErTm2Rh
1.0
3.785 0.000 0.000
0.000 11.788 0.000
0.000 0.000 9.176
Er Tm Rh
4 8 4
direct
0.000 0.074 0.250 Er
0.000 0.926 0.750 Er
0.500 0.426 0.750 Er
0.500 0.574 0.250 Er
0.000 0.361 0.066 Tm
0.000 0.361 0.434 Tm
0.000 0.639 0.566 Tm
0.000 0.639 0.934 Tm
0.500 0.139 0.566 Tm
0.500 0.139 0.934 Tm
0.500 0.861 0.066 Tm
0.500 0.861 0.434 Tm
0.000 0.248 0.750 Rh
0.000 0.752 0.250 Rh
0.500 0.252 0.250 Rh
0.500 0.748 0.750 Rh
```

=====

# 5
Crystalline AsP2WCl at its relaxed geometry, computed with PBE.

**Distance to the lowest polymorph of the same formula**: 0.8149 eV/atom
**Final energy**: -23.00 eV per cell
**Formation energy from raw total energies**: 1454 meV per atom

```
AsP2WCl
1.0
4.745 0.000 0.000
0.000 4.745 0.000
0.000 0.000 4.581
As P W Cl
1 2 1 1
direct
0.000 0.000 0.000 As
0.000 0.500 0.000 P
0.500 0.000 0.000 P
0.500 0.500 0.500 W
0.000 0.000 0.500 Cl
```

=====

# 6
Crystalline Ca2ScCd at its relaxed geometry, computed with PBE.

**Calculated formation energy**: 0.225 eV per atom
**Final energy**: -41.40 eV per cell

```
Ca2ScCd
1.0
8.807 0.000 0.000
0.000 8.807 0.000
0.000 0.000 6.549
Ca Sc Cd
8 4 4
direct
0.215 0.750 0.125 Ca
0.250 0.215 0.875 Ca
0.250 0.285 0.375 Ca
0.285 0.750 0.625 Ca
0.715 0.250 0.625 Ca
0.750 0.715 0.375 Ca
0.750 0.785 0.875 Ca
0.785 0.250 0.125 Ca
0.000 0.000 0.500 Sc
0.000 0.500 0.750 Sc
0.500 0.000 0.250 Sc
0.500 0.500 0.000 Sc
0.000 0.000 0.000 Cd
0.000 0.500 0.250 Cd
0.500 0.000 0.750 Cd
0.500 0.500 0.500 Cd
```

=====

# 7
Crystalline InAsPCl2 at its relaxed geometry, computed with PBE.

**Distance to the lowest polymorph of the same formula**: 0.2455 eV/atom
**Final energy**: -14.82 eV per cell
**Formation energy from raw total energies**: 334 meV per atom

```
InAsPCl2
1.0
5.132 0.000 0.000
0.000 5.132 0.000
0.000 0.000 5.327
In As P Cl
1 1 1 2
direct
0.000 0.000 0.000 In
0.500 0.500 0.500 As
0.000 0.000 0.500 P
0.000 0.500 0.000 Cl
0.500 0.000 0.000 Cl
```

=====

# 8
Crystalline Tb3NdPd3 at its relaxed geometry, computed with PBE.

**Calculated formation energy**: -0.657 eV per atom
**Final energy**: -77.68 eV per cell

```
Tb3NdPd3
1.0
4.669 -5.293 0.000
4.669 5.293 0.000
-0.190 0.000 7.144
Tb Nd Pd
6 2 6
direct
0.178 0.822 0.000 Tb
0.246 0.754 0.500 Tb
0.346 0.346 0.134 Tb
0.654 0.654 0.866 Tb
0.754 0.246 0.500 Tb
0.822 0.178 0.000 Tb
0.266 0.266 0.624 Nd
0.734 0.734 0.376 Nd
0.004 0.508 0.777 Pd
0.062 0.062 0.304 Pd
0.492 0.996 0.223 Pd
0.508 0.004 0.777 Pd
0.938 0.938 0.696 Pd
0.996 0.492 0.223 Pd
```